No. 1
! Li12Ca17 PBE-GGA relaxed; values from VASP
&SYSTEM
  ibrav = 0, nat = 29, ntyp = 2
/
ATOMIC_SPECIES
Li 6.94 Li.upf
Ca 40.08 Ca.upf
ATOMIC_POSITIONS angstrom
Li 0.750 1.381 3.376
Li -2.783 -6.354 3.713
Li 1.667 6.953 5.971
Li 6.533 0.214 4.379
Ca -4.034 -0.912 5.898
Ca 4.828 -2.697 3.169
Ca 4.301 2.929 3.679
Ca -1.932 2.171 5.618
Li -3.841 4.968 4.740
Li 1.048 -1.800 3.088
Ca 1.632 3.082 6.304
Li 5.577 -5.675 4.845
Li -7.648 0.386 5.305
Ca 3.224 -0.192 5.439
Ca 3.558 0.213 1.316
Ca -1.406 -3.456 5.107
Ca -5.003 1.808 3.510
Ca -1.505 -3.356 0.954
Li 3.017 -7.480 4.662
Li -1.867 -0.464 3.189
Ca 0.000 0.000 0.000
Li -7.357 -2.726 5.022
Ca -0.373 5.072 3.842
Ca 2.276 -3.804 5.679
Li 4.518 5.647 5.872
Ca 0.630 -5.656 2.868
Ca -2.080 2.797 1.513
Ca -4.526 -3.294 3.048
Ca -0.050 -0.644 7.049
CELL_PARAMETERS angstrom
-5.955 8.007 4.330
-4.308 -9.607 2.733
10.185 0.610 3.769
! ΔE_f ... 0.044 eV per atom
! Total moment ... 0.00 μB/cell
! DOS(E_F) ... 20.0 states/eV per cell

---

No. 2
! LiCa2 PBE-GGA relaxed; values from VASP
&SYSTEM
  ibrav = 0, nat = 6, ntyp = 2
/
ATOMIC_SPECIES
Li 6.94 Li.upf
Ca 40.08 Ca.upf
ATOMIC_POSITIONS angstrom
Li 10.484 3.148 6.384
Ca 11.818 3.549 0.300
Ca 14.045 4.218 5.181
Ca 5.077 1.525 3.535
Li 6.202 1.863 7.388
Ca 8.471 2.544 1.784
CELL_PARAMETERS angstrom
6.715 -0.009 0.081
5.599 3.707 0.081
3.138 0.942 8.453
! ΔE_f ... 0.016 eV per atom
! Total moment ... 0.00 μB/cell
! DOS(E_F) ... 4.6 states/eV per cell

---

No. 3
! Li2Ca3 PBE-GGA relaxed; values from VASP
&SYSTEM
  ibrav = 0, nat = 10, ntyp = 2
/
ATOMIC_SPECIES
Ca 40.08 Ca.upf
Li 6.94 Li.upf
ATOMIC_POSITIONS angstrom
Ca 1.989 1.989 0.000
Li 1.989 1.989 4.626
Li 1.989 1.989 16.496
Ca 0.000 0.000 18.440
Li 1.989 1.989 8.585
Ca 0.000 0.000 2.683
Ca 0.000 0.000 14.505
Ca 0.000 0.000 10.561
Li 1.989 1.989 12.537
Ca 0.000 0.000 6.618
CELL_PARAMETERS angstrom
3.978 0.000 0.000
0.000 3.978 0.000
0.000 0.000 21.123
! ΔE_f ... 0.014 eV per atom
! Total moment ... 0.00 μB/cell
! DOS(E_F) ... 9.7 states/eV per cell

---

No. 4
! LiCa2 PBE-GGA relaxed; values from VASP
&SYSTEM
  ibrav = 0, nat = 6, ntyp = 2
/
ATOMIC_SPECIES
Li 6.94 Li.upf
Ca 40.08 Ca.upf
ATOMIC_POSITIONS angstrom
Li 2.311 -5.407 -5.760
Ca 2.437 -0.534 5.543
Li -0.512 -0.374 3.668
Ca 2.376 -2.878 0.105
Ca -0.577 -2.903 -2.197
Ca -0.637 -5.247 -7.635
CELL_PARAMETERS angstrom
-0.448 2.086 9.375
-0.641 -5.380 -7.943
5.862 -1.656 0.649
! ΔE_f ... 0.079 eV per atom
! Total moment ... 0.00 μB/cell
! DOS(E_F) ... 5.7 states/eV per cell

---

No. 5
! Li3Ca PBE-GGA relaxed; values from VASP
&SYSTEM
  ibrav = 0, nat = 4, ntyp = 2
/
ATOMIC_SPECIES
Ca 40.08 Ca.upf
Li 6.94 Li.upf
ATOMIC_POSITIONS angstrom
Ca 0.000 0.000 0.000
Li 1.873 1.868 5.195
Li 1.873 1.868 2.212
Li 0.000 0.000 3.704
CELL_PARAMETERS angstrom
3.741 -0.006 0.000
0.005 3.741 0.000
0.000 0.000 7.407
! ΔE_f ... 0.027 eV per atom
! Total moment ... 0.00 μB/cell
! DOS(E_F) ... 3.2 states/eV per cell

---

No. 6
! Li5Ca PBE-GGA relaxed; values from VASP
&SYSTEM
  ibrav = 0, nat = 6, ntyp = 2
/
ATOMIC_SPECIES
Li 6.94 Li.upf
Ca 40.08 Ca.upf
ATOMIC_POSITIONS angstrom
Li -2.696 -0.972 2.017
Li -2.654 -2.136 -0.940
Li -2.537 2.457 3.279
Ca -2.302 5.433 1.845
Li -2.856 -4.396 0.757
Li -2.470 1.825 0.518
CELL_PARAMETERS angstrom
-2.287 5.743 1.959
-2.808 -5.434 -2.153
-0.268 -1.628 4.459
! ΔE_f ... 0.042 eV per atom
! Total moment ... 0.00 μB/cell
! DOS(E_F) ... 4.1 states/eV per cell

---

No. 7
! Li5Ca PBE-GGA relaxed; values from VASP
&SYSTEM
  ibrav = 0, nat = 6, ntyp = 2
/
ATOMIC_SPECIES
Li 6.94 Li.upf
Ca 40.08 Ca.upf
ATOMIC_POSITIONS angstrom
Li -3.397 -5.808 -1.219
Li -2.256 -5.187 -3.842
Li -4.717 -6.760 -3.652
Li -4.747 -3.909 -2.990
Li -1.890 -2.708 -1.463
Ca 0.000 0.000 0.000
CELL_PARAMETERS angstrom
-2.660 -1.918 -4.902
0.061 -5.745 -1.333
-4.959 -3.169 0.383
! ΔE_f ... 0.025 eV per atom
! Total moment ... 0.00 μB/cell
! DOS(E_F) ... 3.9 states/eV per cell

---

No. 8
! Li3Ca PBE-GGA relaxed; values from VASP
&SYSTEM
  ibrav = 0, nat = 8, ntyp = 2
/
ATOMIC_SPECIES
Li 6.94 Li.upf
Ca 40.08 Ca.upf
ATOMIC_POSITIONS angstrom
Li -1.790 1.147 0.459
Ca -3.421 -1.472 1.791
Li -4.192 3.209 -1.363
Li -5.775 0.295 0.167
Li -1.991 0.998 3.648
Ca -4.345 2.765 2.024
Li -5.976 0.146 3.356
Li -3.574 -1.916 5.178
CELL_PARAMETERS angstrom
-4.205 3.978 -3.426
-2.654 -5.445 2.923
-0.906 2.760 4.317
! ΔE_f ... 0.036 eV per atom
! Total moment ... 0.00 μB/cell
! DOS(E_F) ... 4.3 states/eV per cell

---

No. 9
! Li5Ca PBE-GGA relaxed; values from VASP
&SYSTEM
  ibrav = 0, nat = 6, ntyp = 2
/
ATOMIC_SPECIES
Li 6.94 Li.upf
Ca 40.08 Ca.upf
ATOMIC_POSITIONS angstrom
Li -1.723 -0.226 5.552
Ca -3.654 0.701 2.780
Li -0.830 -0.341 0.464
Li -5.584 1.628 0.009
Li -0.627 -1.549 3.239
Li -3.523 -0.158 -0.919
CELL_PARAMETERS angstrom
-0.667 4.134 1.848
-5.386 0.367 -2.766
0.406 -2.415 5.550
! ΔE_f ... 0.034 eV per atom
! Total moment ... 0.00 μB/cell
! DOS(E_F) ... 3.9 states/eV per cell

---

No. 10
! LiCa2 PBE-GGA relaxed; values from VASP
&SYSTEM
  ibrav = 0, nat = 6, ntyp = 2
/
ATOMIC_SPECIES
Ca 40.08 Ca.upf
Li 6.94 Li.upf
ATOMIC_POSITIONS angstrom
Ca 0.000 0.000 12.891
Ca 1.894 0.000 9.563
Ca 0.000 0.000 17.048
Li 0.000 0.000 0.000
Li 0.000 1.894 7.485
Ca 1.894 0.000 5.407
CELL_PARAMETERS angstrom
-1.894 1.894 14.969
1.894 -1.894 14.969
1.894 1.894 -14.969
! ΔE_f ... 0.107 eV per atom
! Total moment ... 0.00 μB/cell
! DOS(E_F) ... 5.9 states/eV per cell

---

No. 11
! LiCa2 PBE-GGA relaxed; values from VASP
&SYSTEM
  ibrav = 0, nat = 6, ntyp = 2
/
ATOMIC_SPECIES
Ca 40.08 Ca.upf
Li 6.94 Li.upf
ATOMIC_POSITIONS angstrom
Ca -7.452 3.666 7.076
Ca -5.314 4.571 4.373
Li 0.000 0.000 0.000
Ca -6.835 1.349 4.441
Li -2.981 1.466 2.831
Ca -4.245 2.146 6.755
CELL_PARAMETERS angstrom
-6.414 3.040 0.643
-4.275 -1.809 5.408
-1.234 4.635 5.271
! ΔE_f ... 0.321 eV per atom
! Total moment ... 0.00 μB/cell
! DOS(E_F) ... 6.1 states/eV per cell

---

> ΔE_f of number 9 (Li5Ca)?

0.034 eV per atom

---

> Look up the ΔE_f of the seventh one.

0.025 eV per atom